Crystalline MgZr2Zn at its relaxed geometry. Source: Alexandria, functional GGA-PBE.

abc: 6.980 6.980 6.980
angles: 90.00 90.00 90.00
Space group F-43m (No. 216)
Symmetry-distinct sites (fractional):
Mg 0.000 0.000 0.000 [4 per cell]
Zr 0.000 0.000 0.500 [4 per cell]
Zr 0.250 0.250 0.750 [4 per cell]
Zn 0.250 0.250 0.250 [4 per cell]

Calculated values
Its volume is 85.0 Å³/f.u. The calculation puts the calculated density at 5.32 g/cm³. For the total DFT energy (no corrections), the calculation gives -4.766 eV per atom. Its energy above the lowest structure with this stoichiometry is 338 meV/atom. For the spin magnetization, the calculation gives 3.30 μB per formula unit.

Crystalline NaPuTlAg at its relaxed geometry. Source: Alexandria, functional GGA-PBE.

abc: 7.455 7.455 7.455
angles: 90.00 90.00 90.00
Space group F-43m (No. 216)
Symmetry-distinct sites (fractional):
Na 0.000 0.000 0.000 [4 per cell]
Pu 0.000 0.000 0.500 [4 per cell]
Tl 0.250 0.250 0.750 [4 per cell]
Ag 0.250 0.250 0.250 [4 per cell]

Calculated values
Its volume is 103.6 Å³/f.u. The calculation puts the calculated density at 9.29 g/cm³. For the total DFT energy (no corrections), the calculation gives -5.103 eV per atom. For the spin magnetization, the calculation gives 5.97 μB per formula unit.